Record 1
Material: Y5Al
Method: DFT, meta-GGA SCAN
State: PBEsol geometry

- volume (Å³/f.u.) = 168.0
- total magnetic moment (μB per cell) = 0.04
- symmetry = Amm2 (38)
- density (g/cm³) = 4.66
- ΔE_f (eV/atom) = -0.061
- DOS at the Fermi energy (states/eV/atom) = 1.060
- total DFT energy (no corrections) (eV/atom) = -24.555

Cell: 3.520 5.400 9.012 Å, 90.00 101.26 90.00°
Each line ends with the local moment (μB).
Element x y z (fractional)
Y (0.777, 0.500, 0.555)  -0.03
Al (0.001, 0.000, 0.003)  -0.01
Y (0.336, 0.000, 0.673)  -0.02
Y (0.656, 0.000, 0.313)  -0.02
Y (0.108, 0.500, 0.217)  0.04
Y (0.454, 0.500, 0.907)  0.07


Record 2
Material: YAl8
Method: DFT, meta-GGA SCAN
State: PBEsol geometry

- volume (Å³/f.u.) = 159.9
- total magnetic moment (μB per cell) = 0.08
- symmetry = I4/mmm (139)
- density (g/cm³) = 3.17
- ΔE_f (eV/atom) = -0.097
- DOS at the Fermi energy (states/eV/atom) = 0.389
- total DFT energy (no corrections) (eV/atom) = -10.081

Cell: 4.087 6.580 6.580 Å, 84.47 71.91 71.91°
Element x y z (fractional)
Al (0.000, 0.657, 0.343)
Al (0.323, 0.000, 0.353)
Al (0.677, 0.000, 0.647)
Y (0.000, 0.000, 0.000)
Al (0.657, 0.343, 0.343)
Al (0.677, 0.647, 0.000)
Al (0.000, 0.343, 0.657)
Al (0.343, 0.657, 0.657)
Al (0.323, 0.353, 0.000)


> Which formula does entry 1 have?

Y5Al